First-principles (PBE-GGA) data for crystalline CaNb3Se at its relaxed geometry, as listed in Alexandria via LeMat-Bulk.

Lattice parameters (Å, degrees): 4.8306 4.8306 4.8306 90.00 90.00 90.00
Fractional coordinates of all 5 atoms:
Ca (0.0000, 0.0000, 0.0000)
Nb (0.0000, 0.0000, 0.5000)
Nb (0.0000, 0.5000, 0.0000)
Nb (0.5000, 0.0000, 0.0000)
Se (0.5000, 0.5000, 0.5000)

Calculated values
Energy above the lowest structure with this stoichiometry ... 1722 meV/atom
V ... 22.5 A^3/atom